1.
# SrTc2Pt PBE-GGA relaxed
# total energy = -26.22 eV per formula unit
# energy above the lowest structure with this stoichiometry = 411 meV per atom
# N(E_F) = 5.047 states/eV/cell
# calculated volume = 83.2 Å³/f.u.
# energy relative to the elements = 0.558 eV/atom
data_SrTc2Pt
_space_group_name_H-M_alt 'P 4/m m m'
_space_group_IT_number 123
_space_group_name_Hall '-P 4 2'
_cell_length_a 3.414
_cell_length_b 3.414
_cell_length_c 7.141
_cell_angle_alpha 90.00
_cell_angle_beta 90.00
_cell_angle_gamma 90.00
loop_
_atom_site_label
_atom_site_type_symbol
_atom_site_fract_x
_atom_site_fract_y
_atom_site_fract_z
_atom_site_occupancy
Sr1 Sr 0.000 0.000 0.000 1
Tc1 Tc 0.500 0.500 0.334 1
Pt1 Pt 0.000 0.000 0.500 1


2.
# SrTcPt2 PBE-GGA relaxed
# total energy = -24.20 eV per formula unit
# energy above the lowest structure with this stoichiometry = 116 meV per atom
# N(E_F) = 3.182 states/eV/cell
# calculated volume = 76.0 Å³/f.u.
# energy relative to the elements = -0.018 eV/atom
data_SrTcPt2
_space_group_name_H-M_alt 'P 1 m 1'
_space_group_IT_number 6
_cell_length_a 2.876
_cell_length_b 4.742
_cell_length_c 5.581
_cell_angle_alpha 90.00
_cell_angle_beta 93.68
_cell_angle_gamma 90.00
loop_
_space_group_symop_operation_xyz
'x,y,z'
'x,-y,z'
loop_
_atom_site_label
_atom_site_type_symbol
_atom_site_fract_x
_atom_site_fract_y
_atom_site_fract_z
_atom_site_occupancy
Sr1 Sr 0.000 0.000 0.000 1
Tc1 Tc 0.915 0.500 0.397 1
Pt1 Pt 0.467 0.000 0.488 1
Pt2 Pt 0.474 0.500 0.802 1


3.
# SrTc2Pt PBE-GGA relaxed
# total energy = -26.20 eV per formula unit
# energy above the lowest structure with this stoichiometry = 416 meV per atom
# N(E_F) = 22.613 states/eV/cell
# calculated volume = 96.4 Å³/f.u.
# energy relative to the elements = 0.563 eV/atom
data_SrTc2Pt
_space_group_name_H-M_alt 'I -4 2 d'
_space_group_IT_number 122
_space_group_name_Hall 'I -4 2bw'
_cell_length_a 4.484
_cell_length_b 4.484
_cell_length_c 19.174
_cell_angle_alpha 90.00
_cell_angle_beta 90.00
_cell_angle_gamma 90.00
loop_
_atom_site_label
_atom_site_type_symbol
_atom_site_fract_x
_atom_site_fract_y
_atom_site_fract_z
_atom_site_occupancy
Sr1 Sr 0.000 0.000 0.000 1
Tc1 Tc 0.064 0.250 0.625 1
Pt1 Pt 0.000 0.000 0.500 1


4.
# SrTc2Pt PBE-GGA relaxed
# total energy = -26.58 eV per formula unit
# energy above the lowest structure with this stoichiometry = 323 meV per atom
# N(E_F) = 7.257 states/eV/cell
# calculated volume = 79.3 Å³/f.u.
# energy relative to the elements = 0.469 eV/atom
data_SrTc2Pt
_space_group_name_H-M_alt 'I m m 2'
_space_group_IT_number 44
_cell_length_a 3.287
_cell_length_b 5.175
_cell_length_c 9.328
_cell_angle_alpha 90.00
_cell_angle_beta 90.00
_cell_angle_gamma 90.00
loop_
_space_group_symop_operation_xyz
'x,y,z'
'-x,-y,z'
'-x,y,z'
'x,-y,z'
'x+1/2,y+1/2,z+1/2'
'-x+1/2,-y+1/2,z+1/2'
'-x+1/2,y+1/2,z+1/2'
'x+1/2,-y+1/2,z+1/2'
loop_
_atom_site_label
_atom_site_type_symbol
_atom_site_fract_x
_atom_site_fract_y
_atom_site_fract_z
_atom_site_occupancy
Sr1 Sr 0.000 0.000 0.000 1
Tc1 Tc 0.000 0.000 0.485 1
Tc2 Tc 0.000 0.500 0.799 1
Pt1 Pt 0.000 0.500 0.211 1


5.
# SrTcPt2 PBE-GGA relaxed
# total energy = -23.52 eV per formula unit
# energy above the lowest structure with this stoichiometry = 286 meV per atom
# N(E_F) = 14.691 states/eV/cell
# calculated volume = 110.3 Å³/f.u.
# energy relative to the elements = 0.152 eV/atom
data_SrTcPt2
_space_group_name_H-M_alt 'I -4 2 d'
_space_group_IT_number 122
_space_group_name_Hall 'I -4 2bw'
_cell_length_a 5.168
_cell_length_b 5.168
_cell_length_c 16.516
_cell_angle_alpha 90.00
_cell_angle_beta 90.00
_cell_angle_gamma 90.00
loop_
_atom_site_label
_atom_site_type_symbol
_atom_site_fract_x
_atom_site_fract_y
_atom_site_fract_z
_atom_site_occupancy
Sr1 Sr 0.000 0.000 0.000 1
Tc1 Tc 0.000 0.000 0.500 1
Pt1 Pt 0.043 0.250 0.625 1


6.
# SrTcPt PBE-GGA relaxed
# total energy = -16.78 eV per formula unit
# energy above the lowest structure with this stoichiometry = 292 meV per atom
# N(E_F) = 3.974 states/eV/cell
# calculated volume = 59.8 Å³/f.u.
# energy relative to the elements = 0.436 eV/atom
data_SrTcPt
_space_group_name_H-M_alt 'P -6 m 2'
_space_group_IT_number 187
_space_group_name_Hall 'P -6 2'
_cell_length_a 4.8759
_cell_length_b 4.8759
_cell_length_c 2.9037
_cell_angle_alpha 90.00
_cell_angle_beta 90.00
_cell_angle_gamma 120.00
loop_
_atom_site_label
_atom_site_type_symbol
_atom_site_fract_x
_atom_site_fract_y
_atom_site_fract_z
_atom_site_occupancy
Sr1 Sr 0.0000 0.0000 0.0000 1
Tc1 Tc 0.6667 0.3333 0.5000 1
Pt1 Pt 0.3333 0.6667 0.5000 1


7.
# SrTcPt2 PBE-GGA relaxed
# total energy = -22.30 eV per formula unit
# energy above the lowest structure with this stoichiometry = 590 meV per atom
# N(E_F) = 13.687 states/eV/cell
# calculated volume = 72.7 Å³/f.u.
# energy relative to the elements = 0.456 eV/atom
data_SrTcPt2
_space_group_name_H-M_alt 'R 3 m'
_space_group_IT_number 160
_space_group_name_Hall 'R 3 -2"'
_cell_length_a 2.9225
_cell_length_b 2.9225
_cell_length_c 29.4839
_cell_angle_alpha 90.00
_cell_angle_beta 90.00
_cell_angle_gamma 120.00
loop_
_atom_site_label
_atom_site_type_symbol
_atom_site_fract_x
_atom_site_fract_y
_atom_site_fract_z
_atom_site_occupancy
Sr1 Sr 0.0000 0.0000 0.0000 1
Tc1 Tc 0.0000 0.0000 0.7611 1
Pt1 Pt 0.0000 0.0000 0.2445 1
Pt2 Pt 0.0000 0.0000 0.4985 1


8.
# SrTc2Pt PBE-GGA relaxed
# total energy = -26.50 eV per formula unit
# energy above the lowest structure with this stoichiometry = 343 meV per atom
# N(E_F) = 4.743 states/eV/cell
# calculated volume = 81.4 Å³/f.u.
# energy relative to the elements = 0.489 eV/atom
data_SrTc2Pt
_space_group_name_H-M_alt 'P m m m'
_space_group_IT_number 47
_cell_length_a 2.832
_cell_length_b 4.405
_cell_length_c 6.525
_cell_angle_alpha 90.00
_cell_angle_beta 90.00
_cell_angle_gamma 90.00
loop_
_space_group_symop_operation_xyz
'x,y,z'
'-x,-y,-z'
'-x,-y,z'
'x,y,-z'
'x,-y,-z'
'-x,y,z'
'-x,y,-z'
'x,-y,z'
loop_
_atom_site_label
_atom_site_type_symbol
_atom_site_fract_x
_atom_site_fract_y
_atom_site_fract_z
_atom_site_occupancy
Sr1 Sr 0.000 0.000 0.000 1
Tc1 Tc 0.500 0.500 0.332 1
Pt1 Pt 0.000 0.000 0.500 1


9.
# SrTc2Pt PBE-GGA relaxed
# total energy = -26.09 eV per formula unit
# energy above the lowest structure with this stoichiometry = 444 meV per atom
# N(E_F) = 7.637 states/eV/cell
# calculated volume = 73.0 Å³/f.u.
# energy relative to the elements = 0.591 eV/atom
data_SrTc2Pt
_space_group_name_H-M_alt 'I -4 m 2'
_space_group_IT_number 119
_space_group_name_Hall 'I -4 -2'
_cell_length_a 4.701
_cell_length_b 4.701
_cell_length_c 6.606
_cell_angle_alpha 90.00
_cell_angle_beta 90.00
_cell_angle_gamma 90.00
loop_
_atom_site_label
_atom_site_type_symbol
_atom_site_fract_x
_atom_site_fract_y
_atom_site_fract_z
_atom_site_occupancy
Sr1 Sr 0.000 0.000 0.000 1
Tc1 Tc 0.000 0.000 0.500 1
Tc2 Tc 0.000 0.500 0.250 1
Pt1 Pt 0.000 0.500 0.750 1


10.
# SrTcPt2 PBE-GGA relaxed
# total energy = -23.34 eV per formula unit
# energy above the lowest structure with this stoichiometry = 333 meV per atom
# N(E_F) = 10.130 states/eV/cell
# calculated volume = 78.8 Å³/f.u.
# energy relative to the elements = 0.198 eV/atom
data_SrTcPt2
_space_group_name_H-M_alt 'F m -3 m'
_space_group_IT_number 225
_space_group_name_Hall '-F 4 2 3'
_cell_length_a 6.805
_cell_length_b 6.805
_cell_length_c 6.805
_cell_angle_alpha 90.00
_cell_angle_beta 90.00
_cell_angle_gamma 90.00
loop_
_atom_site_label
_atom_site_type_symbol
_atom_site_fract_x
_atom_site_fract_y
_atom_site_fract_z
_atom_site_occupancy
Sr1 Sr 0.000 0.000 0.000 1
Tc1 Tc 0.000 0.000 0.500 1
Pt1 Pt 0.250 0.250 0.250 1


11.
# SrTc3Pt PBE-GGA relaxed
# total energy = -31.69 eV per formula unit
# energy above the lowest structure with this stoichiometry = 0 meV per atom
# N(E_F) = 9.893 states/eV/cell
# calculated volume = 114.9 Å³/f.u.
# energy relative to the elements = 1.426 eV/atom
data_SrTc3Pt
_space_group_name_H-M_alt 'P m -3 m'
_space_group_IT_number 221
_space_group_name_Hall '-P 4 2 3'
_cell_length_a 4.862
_cell_length_b 4.862
_cell_length_c 4.862
_cell_angle_alpha 90.00
_cell_angle_beta 90.00
_cell_angle_gamma 90.00
loop_
_atom_site_label
_atom_site_type_symbol
_atom_site_fract_x
_atom_site_fract_y
_atom_site_fract_z
_atom_site_occupancy
Sr1 Sr 0.000 0.000 0.000 1
Tc1 Tc 0.000 0.500 0.500 1
Pt1 Pt 0.500 0.500 0.500 1


12.
# SrTc2Pt PBE-GGA relaxed
# total energy = -25.70 eV per formula unit
# energy above the lowest structure with this stoichiometry = 541 meV per atom
# N(E_F) = 11.492 states/eV/cell
# calculated volume = 71.8 Å³/f.u.
# energy relative to the elements = 0.688 eV/atom
data_SrTc2Pt
_space_group_name_H-M_alt 'C m m m'
_space_group_IT_number 65
_space_group_name_Hall '-C 2 2'
_cell_length_a 5.626
_cell_length_b 9.444
_cell_length_c 2.704
_cell_angle_alpha 90.00
_cell_angle_beta 90.00
_cell_angle_gamma 90.00
loop_
_atom_site_label
_atom_site_type_symbol
_atom_site_fract_x
_atom_site_fract_y
_atom_site_fract_z
_atom_site_occupancy
Sr1 Sr 0.000 0.000 0.000 1
Tc1 Tc 0.250 0.250 0.500 1
Pt1 Pt 0.000 0.500 0.000 1


13.
# SrTcPt2 PBE-GGA relaxed
# total energy = -24.45 eV per formula unit
# energy above the lowest structure with this stoichiometry = 53 meV per atom
# N(E_F) = 2.317 states/eV/cell
# calculated volume = 74.0 Å³/f.u.
# energy relative to the elements = -0.081 eV/atom
data_SrTcPt2
_space_group_name_H-M_alt 'P 4/m m m'
_space_group_IT_number 123
_space_group_name_Hall '-P 4 2'
_cell_length_a 2.990
_cell_length_b 2.990
_cell_length_c 8.277
_cell_angle_alpha 90.00
_cell_angle_beta 90.00
_cell_angle_gamma 90.00
loop_
_atom_site_label
_atom_site_type_symbol
_atom_site_fract_x
_atom_site_fract_y
_atom_site_fract_z
_atom_site_occupancy
Sr1 Sr 0.000 0.000 0.000 1
Tc1 Tc 0.000 0.000 0.500 1
Pt1 Pt 0.500 0.500 0.291 1


14.
# SrTc2Pt PBE-GGA relaxed
# total energy = -24.93 eV per formula unit
# energy above the lowest structure with this stoichiometry = 735 meV per atom
# N(E_F) = 20.472 states/eV/cell
# calculated volume = 71.7 Å³/f.u.
# energy relative to the elements = 0.881 eV/atom
data_SrTc2Pt
_space_group_name_H-M_alt 'F m -3 m'
_space_group_IT_number 225
_space_group_name_Hall '-F 4 2 3'
_cell_length_a 6.595
_cell_length_b 6.595
_cell_length_c 6.595
_cell_angle_alpha 90.00
_cell_angle_beta 90.00
_cell_angle_gamma 90.00
loop_
_atom_site_label
_atom_site_type_symbol
_atom_site_fract_x
_atom_site_fract_y
_atom_site_fract_z
_atom_site_occupancy
Sr1 Sr 0.000 0.000 0.000 1
Tc1 Tc 0.250 0.250 0.250 1
Pt1 Pt 0.000 0.000 0.500 1


15.
# SrTcPt2 PBE-GGA relaxed
# total energy = -24.06 eV per formula unit
# energy above the lowest structure with this stoichiometry = 150 meV per atom
# N(E_F) = 7.522 states/eV/cell
# calculated volume = 78.2 Å³/f.u.
# energy relative to the elements = 0.016 eV/atom
data_SrTcPt2
_space_group_name_H-M_alt 'C 1 m 1'
_space_group_IT_number 8
_cell_length_a 9.447
_cell_length_b 2.902
_cell_length_c 5.771
_cell_angle_alpha 90.00
_cell_angle_beta 98.52
_cell_angle_gamma 90.00
loop_
_space_group_symop_operation_xyz
'x,y,z'
'x,-y,z'
'x+1/2,y+1/2,z'
'x+1/2,-y+1/2,z'
loop_
_atom_site_label
_atom_site_type_symbol
_atom_site_fract_x
_atom_site_fract_y
_atom_site_fract_z
_atom_site_occupancy
Sr1 Sr 0.000 0.000 0.000 1
Tc1 Tc 0.235 0.000 0.639 1
Pt1 Pt 0.257 0.500 0.265 1
Pt2 Pt 0.499 0.000 0.521 1